(1)
The following is a DFT calculation (PBE-GGA) of a geometry-optimized Dy4YLu2Ni2Te2 structure.

Unit cell a=9.3157 b=9.3157 c=9.3157 alpha=156.16 beta=66.90 gamma=118.53
Last column: nearest neighbours and their distance in Å.
Atoms (fractional coordinates):
Dy  0.1330  0.0000  0.1330  2 Ni 2.79
Dy  0.2037  0.8519  0.3519  2 Ni 2.82, 2 Te 3.16
Dy  0.5000  0.8519  0.6481  2 Ni 2.82, 2 Te 3.16
Dy  0.8670  0.0000  0.8670  2 Ni 2.79
Y  0.5829  0.5829  0.0000  3 Te 3.16-3.20
Lu  0.5177  0.2027  0.3150  2 Ni 2.76
Lu  0.8877  0.2027  0.6850  2 Ni 2.76
Ni  0.2754  0.5128  0.7626  2 Lu 2.76, 4 Dy 2.79-2.82
Ni  0.7503  0.5128  0.2374  2 Lu 2.76, 4 Dy 2.79-2.82
Te  0.2469  0.2469  0.0000  6 Dy 3.13-3.16, 1 Y 3.20
Te  0.8459  0.3459  0.5000  2 Y 3.16, 2 Lu 3.18, 4 Dy 3.18

Computed properties:
The value obtained for the energy above the most stable polymorph in this dataset is 0 meV/atom.

(2)
The following is a DFT calculation (PBE-GGA) of a geometry-optimized Dy4YLu2Ni2Te2 structure.

Unit cell a=9.3119 b=9.3119 c=9.3119 alpha=156.18 beta=66.64 gamma=118.80
Last column: nearest neighbours and their distance in Å.
Atoms (fractional coordinates):
Dy  0.1474  0.0000  0.1474  2 Ni 2.85, 2 Te 3.17
Dy  0.1684  0.3534  0.8150  2 Ni 2.79
Dy  0.5384  0.3534  0.1850  2 Ni 2.79
Dy  0.8526  0.0000  0.8526  2 Ni 2.85, 2 Te 3.17
Y  0.2324  0.7324  0.5000  3 Te 3.19-3.24
Lu  0.5152  0.1488  0.3664  2 Ni 2.75
Lu  0.7825  0.1488  0.6336  2 Ni 2.75
Ni  0.4008  0.6603  0.7405  2 Lu 2.75, 4 Dy 2.79-2.85
Ni  0.9198  0.6603  0.2595  2 Lu 2.75, 4 Dy 2.79-2.85
Te  0.5013  0.5013  0.0000  4 Lu 3.16, 2 Y 3.19, 2 Dy 3.20
Te  0.8910  0.3910  0.5000  2 Lu 3.10, 4 Dy 3.17, 1 Y 3.24

Computed properties:
The value obtained for the energy above the most stable polymorph in this dataset is 13 meV/atom.

(3)
The following is a DFT calculation (PBE-GGA) of a geometry-optimized DyLuNp structure.

Unit cell a=5.2121 b=5.2121 c=5.2121 alpha=60.00 beta=60.00 gamma=60.00
Last column: nearest neighbours and their distance in Å.
Atoms (fractional coordinates):
Dy  0.0000  0.0000  0.0000  4 Np 3.19
Lu  0.5000  0.5000  0.5000  4 Np 3.19
Np  0.2500  0.2500  0.2500  4 Lu 3.19, 4 Dy 3.19

Computed properties:
The value obtained for the formation energy from the elements is 3.569 eV per formula unit.

(4)
The following is a DFT calculation (PBE-GGA) of a geometry-optimized DyLuO3 structure.

Unit cell a=5.7531 b=5.7531 c=5.7531 alpha=120.45 beta=120.45 gamma=89.23
Last column: nearest neighbours and their distance in Å.
Atoms (fractional coordinates):
Dy  0.2500  0.7500  0.5000  4 O 2.40
Dy  0.7500  0.2500  0.5000  4 O 2.40
Lu  0.0000  0.0000  0.0000  6 O 2.05-2.16
Lu  0.5000  0.5000  0.0000  6 O 2.05-2.16
O  0.1553  0.6553  0.8106  2 Lu 2.16, 2 Dy 2.40
O  0.2500  0.2500  0.0000  2 Lu 2.05
O  0.3447  0.1553  0.5000  2 Lu 2.16, 2 Dy 2.40
O  0.6553  0.8447  0.5000  2 Lu 2.16, 2 Dy 2.40
O  0.7500  0.7500  0.0000  2 Lu 2.05
O  0.8447  0.3447  0.1894  2 Lu 2.16, 2 Dy 2.40

Computed properties:
The total DFT energy (no corrections) is -8.069 eV/atom.

(5)
The following is a DFT calculation (PBE-GGA) of a geometry-optimized Dy2Lu2O5 structure.

Unit cell a=3.8710 b=3.8710 c=9.2833 alpha=90.00 beta=90.00 gamma=90.00
Last column: nearest neighbours and their distance in Å.
Atoms (fractional coordinates):
Dy  0.0000  0.0000  0.2416  5 O 2.15-2.40
Dy  0.0000  0.0000  0.7584  5 O 2.15-2.40
Lu  0.5000  0.5000  0.0000  8 O 2.34
Lu  0.5000  0.5000  0.5000  4 O 2.74
O  0.0000  0.0000  0.5000  2 Dy 2.40
O  0.0000  0.5000  0.1411  2 Dy 2.15, 2 Lu 2.34
O  0.0000  0.5000  0.8589  2 Dy 2.15, 2 Lu 2.34
O  0.5000  0.0000  0.1411  2 Dy 2.15, 2 Lu 2.34
O  0.5000  0.0000  0.8589  2 Dy 2.15, 2 Lu 2.34

Computed properties:
The value obtained for the energy above the most stable polymorph in this dataset is 0 meV/atom.

(6)
The following is a DFT calculation (PBE-GGA) of a geometry-optimized Dy2Lu2O5 structure.

Unit cell a=4.1963 b=4.1963 c=7.5067 alpha=90.00 beta=90.00 gamma=90.00
Last column: nearest neighbours and their distance in Å.
Atoms (fractional coordinates):
Dy  0.0000  0.0000  0.0000  8 O 2.74
Dy  0.0000  0.0000  0.5000  12 O 2.89-2.97
Lu  0.5000  0.5000  0.2280  5 O 2.04-2.10
Lu  0.5000  0.5000  0.7720  5 O 2.04-2.10
O  0.0000  0.5000  0.2344  2 Lu 2.10
O  0.0000  0.5000  0.7656  2 Lu 2.10
O  0.5000  0.0000  0.2344  2 Lu 2.10
O  0.5000  0.0000  0.7656  2 Lu 2.10
O  0.5000  0.5000  0.5000  2 Lu 2.04

Computed properties:
The value obtained for the energy above the most stable polymorph in this dataset is 120 meV/atom.

(7)
The following is a DFT calculation (PBE-GGA) of a geometry-optimized PrDy3Lu2Te2Os structure.

Unit cell a=4.0357 b=8.3759 c=8.3759 alpha=121.21 beta=90.00 gamma=90.00
Last column: nearest neighbours and their distance in Å.
Atoms (fractional coordinates):
Pr  0.0000  0.0000  0.0000  2 Os 2.98, 2 Te 3.32
Dy  0.5000  0.2384  0.8420  4 Te 3.20-3.24, 1 Os 3.44, 2 Lu 3.49, 2 Pr 3.54
Dy  0.5000  0.6261  0.6261  1 Os 2.96
Dy  0.5000  0.8420  0.2384  4 Te 3.20-3.24, 1 Os 3.44, 2 Lu 3.49, 2 Pr 3.54
Lu  0.0000  0.2379  0.4784  2 Os 2.78
Lu  0.0000  0.4784  0.2379  2 Os 2.78
Te  0.0000  0.5639  0.9072  2 Lu 3.19-3.20, 6 Dy 3.20-3.34, 1 Pr 3.32
Te  0.0000  0.9072  0.5639  2 Lu 3.19-3.20, 6 Dy 3.20-3.34, 1 Pr 3.32
Os  0.5000  0.2664  0.2664  4 Lu 2.78, 1 Dy 2.96, 2 Pr 2.98

Computed properties:
The total DFT energy (no corrections) is -5.718 eV/atom.

(8)
The following is a DFT calculation (PBE-GGA) of a geometry-optimized Dy2LuSc3Sb2Os structure.

Unit cell a=4.1693 b=7.7918 c=7.7918 alpha=119.92 beta=90.00 gamma=90.00
Last column: nearest neighbours and their distance in Å.
Atoms (fractional coordinates):
Dy  0.0000  0.1965  0.8035  1 Os 3.09, 4 Sb 3.18-3.19, 4 Sc 3.38-3.39
Dy  0.0000  0.8035  0.1965  1 Os 3.09, 4 Sb 3.18-3.19, 4 Sc 3.38-3.39
Lu  0.0000  0.5869  0.5869  1 Os 2.98, 4 Sb 3.17
Sc  0.5000  0.1980  0.4280  2 Os 2.73
Sc  0.5000  0.4280  0.1980  2 Os 2.73
Sc  0.5000  0.9720  0.9720  2 Os 2.76, 2 Sc 3.08, 2 Sb 3.09
Sb  0.5000  0.5314  0.8612  3 Sc 3.07-3.11, 2 Lu 3.17, 4 Dy 3.18-3.19
Sb  0.5000  0.8612  0.5314  3 Sc 3.07-3.11, 2 Lu 3.17, 4 Dy 3.18-3.19
Os  0.0000  0.2045  0.2045  6 Sc 2.73-2.76, 1 Lu 2.98

Computed properties:
The total DFT energy (no corrections) is -6.537 eV/atom.

(9)
The following is a DFT calculation (PBE-GGA) of a geometry-optimized DyLu2Sc3Sb2Os structure.

Unit cell a=4.1500 b=7.7780 c=7.7780 alpha=120.07 beta=90.00 gamma=90.00
Last column: nearest neighbours and their distance in Å.
Atoms (fractional coordinates):
Dy  0.0000  0.0000  0.0000  1 Os 3.10, 4 Sb 3.19, 4 Sc 3.37
Lu  0.0000  0.3922  0.7813  1 Os 3.00, 4 Sb 3.16-3.17, 4 Sc 3.34-3.36
Lu  0.0000  0.7813  0.3922  1 Os 3.00, 4 Sb 3.16-3.17, 4 Sc 3.34-3.36
Sc  0.5000  0.1647  0.3936  2 Os 2.75, 1 Sb 3.06
Sc  0.5000  0.3936  0.1647  2 Os 2.75, 1 Sb 3.06
Sc  0.5000  0.6256  0.6256  2 Os 2.72
Sb  0.5000  0.0601  0.7235  3 Sc 3.06-3.10, 4 Lu 3.16-3.17, 2 Dy 3.19
Sb  0.5000  0.7235  0.0601  3 Sc 3.06-3.10, 4 Lu 3.16-3.17, 2 Dy 3.19
Os  0.0000  0.3993  0.3993  6 Sc 2.72-2.75, 2 Lu 3.00

Computed properties:
The total DFT energy (no corrections) is -6.518 eV/atom.

(10)
The following is a DFT calculation (PBE-GGA) of a geometry-optimized Dy2Tm3LuSb2Os structure.

Unit cell a=4.1950 b=8.1007 c=8.1007 alpha=120.16 beta=90.00 gamma=90.00
Last column: nearest neighbours and their distance in Å.
Atoms (fractional coordinates):
Dy  0.0000  0.1956  0.8044  1 Os 3.20, 4 Sb 3.26-3.27, 4 Tm 3.47-3.48
Dy  0.0000  0.8044  0.1956  1 Os 3.20, 4 Sb 3.26-3.27, 4 Tm 3.47-3.48
Tm  0.5000  0.0371  0.0371  2 Os 2.86, 2 Sb 3.17
Tm  0.5000  0.5657  0.8027  2 Os 2.83, 1 Sb 3.14
Tm  0.5000  0.8027  0.5657  2 Os 2.83, 1 Sb 3.14
Lu  0.0000  0.4157  0.4157  1 Os 3.07, 4 Sb 3.26
Sb  0.5000  0.1387  0.4700  3 Tm 3.14-3.18, 2 Lu 3.26, 4 Dy 3.26-3.27
Sb  0.5000  0.4700  0.1387  3 Tm 3.14-3.18, 2 Lu 3.26, 4 Dy 3.26-3.27
Os  0.0000  0.7961  0.7961  6 Tm 2.83-2.86, 1 Lu 3.07

Computed properties:
The total DFT energy (no corrections) is -5.865 eV/atom.